# ZrAlBr2

A relaxed ZrAlBr2 crystal (PBE, the Alexandria database).

Results
**Excess energy over the best structure of this formula in the dataset**: 0.185 eV per atom
**E_form (uncorrected)**: -0.5321 eV per atom

Unit cell a=8.161 b=8.161 c=8.161 alpha=156.53 beta=144.12 gamma=43.32
Element x y z (fractional)
Zr 0.250 0.750 0.500
Br 0.396 0.396 0.000
Br 0.104 0.104 0.000
Al 0.750 0.250 0.500

=====

# MnHgTeAu2

A relaxed MnHgTeAu2 crystal (PBE, the Alexandria database).

Results
**E_form (uncorrected)**: 0.8747 eV per atom

Unit cell a=5.163 b=5.745 c=5.163 alpha=90.00 beta=90.00 gamma=90.00
Each line ends with the local moment (μB).
Element x y z (fractional)
Mn 0.500 0.500 0.500  4.56
Au 0.500 0.000 0.000  0.04
Te 0.000 0.500 0.000  -0.01
Hg 0.000 0.000 0.000  0.00
Au 0.000 0.000 0.500  0.02

=====

# CuMo3I

A relaxed CuMo3I crystal (PBE, the Alexandria database).

Results
**Excess energy over the best structure of this formula in the dataset**: 0.000 eV per atom
**E_form (uncorrected)**: 1.8224 eV per atom

Unit cell a=4.629 b=4.629 c=4.629 alpha=90.00 beta=90.00 gamma=90.00
Element x y z (fractional)
Mo 0.000 0.000 0.500
I 0.500 0.500 0.500
Mo 0.500 0.000 0.000
Cu 0.000 0.000 0.000
Mo 0.000 0.500 0.000

=====

# Li2LaIn4

A relaxed Li2LaIn4 crystal (PBE, the Alexandria database).

Results
**Energy of formation from the pure elements**: -0.351 eV per atom

Unit cell a=6.191 b=6.191 c=5.487 alpha=63.60 beta=63.60 gamma=79.61
Element x y z (fractional)
In 0.002 0.390 0.304
La 0.000 0.000 0.000
In 0.610 0.998 0.696
In 0.998 0.610 0.696
Li 0.501 0.501 0.250
Li 0.499 0.499 0.750
In 0.390 0.002 0.304

=====

# Ca3Ta3MoN8

A relaxed Ca3Ta3MoN8 crystal (PBE, the Alexandria database).

Results
**E_form (uncorrected)**: -1.0341 eV per atom

Unit cell a=6.246 b=6.248 c=6.686 alpha=117.86 beta=90.01 gamma=119.99
Each line ends with the local moment (μB).
Element x y z (fractional)
N 0.733 0.968 0.703  -0.01
Ta 0.500 0.000 0.500  -0.01
Ta 0.000 0.500 0.500  -0.02
Ca 0.500 0.500 0.000  0.00
Ta 0.500 0.500 0.500  -0.02
Ca 0.000 0.000 0.000  0.00
N 0.738 0.476 0.714  0.00
N 0.235 0.968 0.704  -0.01
N 0.262 0.524 0.286  0.00
N 0.235 0.470 0.703  -0.01
N 0.267 0.032 0.297  -0.01
Ca 0.000 0.500 0.000  0.00
N 0.765 0.530 0.297  -0.01
N 0.765 0.032 0.296  -0.01
Mo 0.000 0.000 0.500  -0.41

=====

# CoAgP2S

A relaxed CoAgP2S crystal (PBE, the Alexandria database).

Results
**Excess energy over the best structure of this formula in the dataset**: 1.032 eV per atom
**E_form (uncorrected)**: 1.5141 eV per atom

Unit cell a=4.746 b=4.746 c=4.879 alpha=90.00 beta=90.00 gamma=90.00
Each line ends with the local moment (μB).
Element x y z (fractional)
P 0.500 0.000 0.000  0.08
Co 0.500 0.500 0.500  2.22
S 0.000 0.000 0.500  0.03
Ag 0.000 0.000 0.000  0.01
P 0.000 0.500 0.000  0.08

=====

# Sr2MoRu

A relaxed Sr2MoRu crystal (PBE, the Alexandria database).

Results
**Energy of formation from the pure elements**: 0.497 eV per atom
**Excess energy over the best structure of this formula in the dataset**: 0.232 eV per atom

Unit cell a=6.273 b=6.273 c=6.273 alpha=144.63 beta=127.92 gamma=64.53
Element x y z (fractional)
Ru 0.304 0.804 0.500
Sr 0.736 0.236 0.500
Mo 0.434 0.434 0.000
Sr 0.027 0.027 0.000

=====

# LiCa2Mo2

A relaxed LiCa2Mo2 crystal (PBE, the Alexandria database).

Results
**Energy of formation from the pure elements**: 0.969 eV per atom

Unit cell a=5.747 b=5.747 c=5.747 alpha=117.60 beta=117.60 gamma=94.22
Each line ends with the local moment (μB).
Element x y z (fractional)
Ca 0.250 0.750 0.500  0.01
Mo 0.366 0.366 0.000  0.06
Ca 0.750 0.250 0.500  0.01
Mo 0.634 0.634 0.000  0.06
Li 0.000 0.000 0.000  0.00